DFT (PBE+U) results for a relaxed UCu2NiO6 crystal.

Cell and atoms, written as CIF:
```
data_UCu2NiO6
_space_group_name_H-M_alt 'R 3'
_space_group_IT_number 146
_space_group_name_Hall 'R 3'
_cell_length_a 5.2863
_cell_length_b 5.2863
_cell_length_c 14.6669
_cell_angle_alpha 90.00
_cell_angle_beta 90.00
_cell_angle_gamma 120.00
loop_
_atom_site_label
_atom_site_type_symbol
_atom_site_fract_x
_atom_site_fract_y
_atom_site_fract_z
U1 U 0.0000 0.0000 0.0000
Cu1 Cu 0.0000 0.0000 0.2460
Cu2 Cu 0.0000 0.0000 0.7556
Ni1 Ni 0.0000 0.0000 0.4999
O1 O 0.0005 0.6423 0.7511
O2 O 0.0252 0.3345 0.5820
```

Summary:
As for the total DFT energy (no corrections): -201.9 eV/cell.